The following is a DFT calculation (PBE) of a geometry-optimized Rb2HgBiTe4 structure.

a b c (Å): 7.5382 7.4187 7.4187
angles (deg): 75.04 59.47 59.47
Positions (direct):
Rb1 0.0000 0.5000 0.5000
Rb2 0.5000 0.5000 0.5000
Hg1 0.5000 0.0000 0.0000
Bi1 0.0000 0.0000 0.0000
Te1 0.0749 0.3580 0.0000
Te2 0.9251 0.0000 0.6420
Te3 0.5671 0.0000 0.3580
Te4 0.4329 0.6420 0.0000

Properties
ρ: 5885 kg/m3
density of states at the Fermi level: 3.66 states/eV/cell
energy relative to the elements, uncorrected: -0.476 eV per atom
SG: No. 121
total magnetization: 0.00 μB per formula unit


The following is a DFT calculation (PBE) of a geometry-optimized RbTiHgBi2 structure.

a b c (Å): 5.4599 5.4599 5.6994
angles (deg): 90.00 90.00 90.00
Positions (direct):
Ti1 0.0000 0.0000 0.0000
Bi1 0.0000 0.5000 0.0000
Bi2 0.5000 0.0000 0.0000
Rb1 0.5000 0.5000 0.5000
Hg1 0.0000 0.0000 0.5000

Properties
ρ: 7349 kg/m3
density of states at the Fermi level: 3.65 states/eV/cell
SG: No. 123
calculated formation energy: -0.1488 eV per atom
total magnetization: 0.00 μB per formula unit